# Sm2Dy2CI4Cl

An optimized crystal structure of Sm2Dy2CI4Cl (PBE-GGA, OQMD via LeMat-Bulk).

Structure (POSCAR):
```
Sm2Dy2CI4Cl
1.0
-1.5198 0.3937 9.6022
-4.8157 -1.3260 8.3497
4.0926 -7.2183 -0.8591
Sm I Cl C Dy
2 4 1 1 2
direct
0.6331 0.6331 0.0703
0.3669 0.3669 0.9297
0.8324 0.8324 0.1911
0.1607 0.1607 0.3621
0.8393 0.8393 0.6379
0.1676 0.1676 0.8089
0.5000 0.5000 0.5000
0.5000 0.5000 0.0000
0.9987 0.9987 0.2000
0.0013 0.0013 0.8000
```

Results
* excess energy over the best structure of this formula in the dataset: 0.023 eV/atom
* total magnetic moment: 0.00 Bohr magnetons per cell
* E: -47.7 eV for the cell shown

# Nd2CdPd2

An optimized crystal structure of Nd2CdPd2 (PBE-GGA, OQMD via LeMat-Bulk).

Structure (POSCAR):
```
Nd2CdPd2
1.0
-0.8225 2.6960 -7.2965
1.0866 -7.2254 -2.7922
-3.8626 -0.6556 0.1932
Cd Nd Pd
2 4 4
direct
0.0000 0.0000 0.0000
0.5000 0.5000 0.0000
0.6739 0.8261 0.5000
0.1739 0.6739 0.5000
0.8261 0.3261 0.5000
0.3261 0.1739 0.5000
0.1278 0.3722 0.0000
0.3722 0.8722 0.0000
0.6278 0.1278 0.0000
0.8722 0.6278 0.0000
```

Results
* DFT formation energy: -3.8 eV/f.u.
* total magnetic moment: 0.00 Bohr magnetons per cell
* E: -49.1 eV for the cell shown